[1]
VASP calculation (GGA-PBE) on an optimized crystal structure of LaTl2Ir.

Properties
Its total energy is -19.04 eV per cell. The formation energy comes out at -0.130 eV per atom. The density of states at the Fermi level is 1.79 states/eV/cell. The space group is No. 123. Its size of the total moment is 0.00 μB per formula unit.

Cell and atoms, written as POSCAR:
```
LaTl2Ir
1.0
4.342 0.000 0.000
0.000 4.346 0.000
0.000 0.000 5.304
Tl La Ir
2 1 1
Cartesian
2.171 2.173 0.000 Tl
0.000 0.000 0.000 Tl
0.000 2.173 2.652 La
2.171 0.000 2.652 Ir
```


[2]
VASP calculation (GGA-PBE) on an optimized crystal structure of VCrReRh.

Properties
Its total energy is -38.92 eV per cell. The formation energy comes out at -0.095 eV per atom. The density of states at the Fermi level is 3.50 states/eV/cell. The space group is No. 216. Its size of the total moment is 2.78 μB per formula unit.

Cell and atoms, written as POSCAR:
```
VCrReRh
1.0
4.278 0.000 0.000
2.139 3.704 0.000
2.139 1.235 3.493
V Rh Re Cr
1 1 1 1
Cartesian
6.416 3.704 2.619 V
0.000 0.000 0.000 Rh
4.278 2.470 1.746 Re
2.139 1.235 0.873 Cr
```


[3]
VASP calculation (GGA-PBE) on an optimized crystal structure of NaCdInAu.

Properties
Its total energy is -9.04 eV per cell. As for the distance to the lowest polymorph of the same formula: 0.0000 eV per atom. The formation energy comes out at -0.196 eV per atom. The density of states at the Fermi level is 1.38 states/eV/cell. The space group is No. 216. Its size of the total moment is 0.00 μB per formula unit.

Cell and atoms, written as POSCAR:
```
NaCdInAu
1.0
4.945 0.000 0.000
2.473 4.283 0.000
2.473 1.428 4.038
In Na Au Cd
1 1 1 1
Cartesian
2.473 1.428 1.009 In
0.000 0.000 0.000 Na
4.945 2.855 2.019 Au
7.418 4.283 3.028 Cd
```


[4]
VASP calculation (GGA-PBE) on an optimized crystal structure of Na2CoRuI.

Properties
Its total energy is -14.36 eV per cell. The density of states at the Fermi level is 6.77 states/eV/cell. For the uncorrected formation energy, the calculation gives 1.241 eV per atom. The space group is No. 123. Its size of the total moment is 4.00 μB per formula unit.

Cell and atoms, written as POSCAR:
```
Na2CoRuI
1.0
-3.575 4.348 1.197
-3.317 -3.074 1.259
1.950 0.113 5.414
Co Na Ru I
1 2 1 1
Cartesian
-1.659 -1.537 0.630 Co
0.975 0.057 2.707 Na
-1.788 2.174 0.598 Na
-2.471 0.694 3.935 Ru
0.000 0.000 0.000 I
```


[5]
VASP calculation (GGA-PBE) on an optimized crystal structure of Pm2Pd2Pt.

Properties
Its total energy is -60.74 eV per cell. As for the distance to the lowest polymorph of the same formula: 0.0000 eV per atom. The formation energy comes out at -0.889 eV per atom. The density of states at the Fermi level is 5.36 states/eV/cell. The space group is No. 12. Its size of the total moment is 0.00 μB per formula unit.

Cell and atoms, written as POSCAR:
```
Pm2Pd2Pt
1.0
3.948 0.000 0.000
1.974 5.193 -0.603
1.974 -0.125 10.919
Pd Pm Pt
4 4 2
Cartesian
5.923 4.071 9.280 Pd
1.974 1.153 5.704 Pd
5.923 3.915 4.612 Pd
1.974 0.997 1.036 Pd
3.948 1.757 3.483 Pm
1.974 3.862 0.771 Pm
5.923 1.206 9.545 Pm
3.948 3.311 6.833 Pm
3.948 4.671 2.800 Pt
3.948 0.397 7.515 Pt
```


[6]
VASP calculation (GGA-PBE) on an optimized crystal structure of CeSm6Ho10.

Properties
Its total energy is -77.56 eV per cell. The formation energy comes out at 0.145 eV per atom. The density of states at the Fermi level is 27.76 states/eV/cell. The space group is No. 162. Its size of the total moment is 1.19 μB per formula unit.

Cell and atoms, written as POSCAR:
```
CeSm6Ho10
1.0
6.859 0.000 0.000
0.000 8.357 -4.825
0.000 0.000 9.650
Ho Sm Ce
10 6 1
Cartesian
5.603 0.000 2.620 Ho
1.257 6.088 -3.515 Ho
5.603 2.269 -1.310 Ho
0.000 5.571 0.000 Ho
1.257 0.000 7.030 Ho
3.430 5.571 0.000 Ho
0.000 2.786 4.825 Ho
1.257 2.269 1.310 Ho
5.603 6.088 3.515 Ho
3.430 2.786 4.825 Ho
4.805 0.000 5.991 Sm
2.054 0.000 3.659 Sm
4.805 5.188 -2.995 Sm
4.805 3.169 1.829 Sm
2.054 5.188 2.995 Sm
2.054 3.169 -1.829 Sm
3.430 0.000 0.000 Ce
```


[7]
VASP calculation (GGA-PBE) on an optimized crystal structure of PrY3Er6.

Properties
Its total energy is -48.54 eV per cell. As for the distance to the lowest polymorph of the same formula: 0.1578 eV per atom. The formation energy comes out at 0.301 eV per atom. The density of states at the Fermi level is 20.71 states/eV/cell. The space group is No. 146. Its size of the total moment is 0.00 μB per formula unit.

Cell and atoms, written as POSCAR:
```
PrY3Er6
1.0
-7.831 5.868 -0.797
-8.917 -3.367 2.354
-5.067 2.018 4.168
Er Y Pr
6 3 1
Cartesian
-10.384 5.658 2.895 Er
-8.027 3.156 1.326 Er
-8.175 0.660 4.205 Er
-13.644 3.977 1.854 Er
-13.707 1.506 4.712 Er
-11.367 -1.080 3.173 Er
-10.750 2.621 3.978 Y
-5.298 1.486 2.530 Y
-11.130 1.749 1.290 Y
-16.592 2.859 2.659 Pr
```


[8]
VASP calculation (GGA-PBE) on an optimized crystal structure of Na4Hg5P2.

Properties
Its total energy is -19.88 eV per cell. The formation energy comes out at -0.206 eV per atom. The density of states at the Fermi level is 3.90 states/eV/cell. The space group is No. 10. Its size of the total moment is 0.00 μB per formula unit.

Cell and atoms, written as POSCAR:
```
Na4Hg5P2
1.0
-0.135 -4.005 -0.201
5.364 0.112 -5.833
5.673 -0.537 6.894
Na Hg P
4 5 2
Cartesian
5.173 -1.996 -3.743 Na
5.729 -2.434 4.603 Na
3.532 -2.206 1.525 Na
7.370 -2.225 -0.666 Na
4.792 -0.122 -0.794 Hg
1.595 -0.053 -0.013 Hg
6.245 -0.304 1.855 Hg
9.442 -0.372 1.074 Hg
2.682 0.056 -2.917 Hg
3.829 -0.320 3.808 P
7.208 -0.105 -2.747 P
```